(1)
Entry from Alexandria via LeMat-Bulk: PmLuMgCd after structural relaxation (PBE).

## Properties
- space-group type = F-43m (216)

Lattice parameters (Å, degrees): 7.546 7.546 7.546 90.00 90.00 90.00
Sites, in units of the cell vectors:
Pm1 0.000 0.000 0.000
Pm2 0.000 0.500 0.500
Pm3 0.500 0.000 0.500
Pm4 0.500 0.500 0.000
Lu1 0.000 0.000 0.500
Lu2 0.000 0.500 0.000
Lu3 0.500 0.000 0.000
Lu4 0.500 0.500 0.500
Mg1 0.250 0.250 0.750
Mg2 0.250 0.750 0.250
Mg3 0.750 0.250 0.250
Mg4 0.750 0.750 0.750
Cd1 0.250 0.250 0.250
Cd2 0.250 0.750 0.750
Cd3 0.750 0.250 0.750
Cd4 0.750 0.750 0.250

(2)
Entry from Alexandria via LeMat-Bulk: PrLuMgCd after structural relaxation (PBE).

## Properties
- space-group type = F-43m (216)

Lattice parameters (Å, degrees): 7.599 7.599 7.599 90.00 90.00 90.00
Sites, in units of the cell vectors:
Pr1 0.000 0.000 0.000
Pr2 0.000 0.500 0.500
Pr3 0.500 0.000 0.500
Pr4 0.500 0.500 0.000
Lu1 0.000 0.000 0.500
Lu2 0.000 0.500 0.000
Lu3 0.500 0.000 0.000
Lu4 0.500 0.500 0.500
Mg1 0.250 0.250 0.250
Mg2 0.250 0.750 0.750
Mg3 0.750 0.250 0.750
Mg4 0.750 0.750 0.250
Cd1 0.250 0.250 0.750
Cd2 0.250 0.750 0.250
Cd3 0.750 0.250 0.250
Cd4 0.750 0.750 0.750

(3)
Entry from Alexandria via LeMat-Bulk: LuMgScCd after structural relaxation (PBE).

## Properties
- space-group type = F-43m (216)

Lattice parameters (Å, degrees): 7.251 7.251 7.251 90.00 90.00 90.00
Sites, in units of the cell vectors:
Lu1 0.000 0.000 0.000
Lu2 0.000 0.500 0.500
Lu3 0.500 0.000 0.500
Lu4 0.500 0.500 0.000
Mg1 0.250 0.250 0.250
Mg2 0.250 0.750 0.750
Mg3 0.750 0.250 0.750
Mg4 0.750 0.750 0.250
Sc1 0.000 0.000 0.500
Sc2 0.000 0.500 0.000
Sc3 0.500 0.000 0.000
Sc4 0.500 0.500 0.500
Cd1 0.250 0.250 0.750
Cd2 0.250 0.750 0.250
Cd3 0.750 0.250 0.250
Cd4 0.750 0.750 0.750

(4)
Entry from Alexandria via LeMat-Bulk: SmLuMgCd after structural relaxation (PBE).

## Properties
- space-group type = F-43m (216)

Lattice parameters (Å, degrees): 7.527 7.527 7.527 90.00 90.00 90.00
Sites, in units of the cell vectors:
Sm1 0.000 0.000 0.000
Sm2 0.000 0.500 0.500
Sm3 0.500 0.000 0.500
Sm4 0.500 0.500 0.000
Lu1 0.000 0.000 0.500
Lu2 0.000 0.500 0.000
Lu3 0.500 0.000 0.000
Lu4 0.500 0.500 0.500
Mg1 0.250 0.250 0.750
Mg2 0.250 0.750 0.250
Mg3 0.750 0.250 0.250
Mg4 0.750 0.750 0.750
Cd1 0.250 0.250 0.250
Cd2 0.250 0.750 0.750
Cd3 0.750 0.250 0.750
Cd4 0.750 0.750 0.250

(5)
Entry from Alexandria via LeMat-Bulk: TbLuMgCd after structural relaxation (PBE).

## Properties
- space-group type = F-43m (216)

Lattice parameters (Å, degrees): 7.468 7.468 7.468 90.00 90.00 90.00
Sites, in units of the cell vectors:
Tb1 0.000 0.000 0.000
Tb2 0.000 0.500 0.500
Tb3 0.500 0.000 0.500
Tb4 0.500 0.500 0.000
Lu1 0.000 0.000 0.500
Lu2 0.000 0.500 0.000
Lu3 0.500 0.000 0.000
Lu4 0.500 0.500 0.500
Mg1 0.250 0.250 0.250
Mg2 0.250 0.750 0.750
Mg3 0.750 0.250 0.750
Mg4 0.750 0.750 0.250
Cd1 0.250 0.250 0.750
Cd2 0.250 0.750 0.250
Cd3 0.750 0.250 0.250
Cd4 0.750 0.750 0.750

(6)
Entry from Alexandria via LeMat-Bulk: LuMgTiCd after structural relaxation (PBE).

## Properties
- space-group type = F-43m (216)

Lattice parameters (Å, degrees): 7.068 7.068 7.068 90.00 90.00 90.00
Sites, in units of the cell vectors:
Lu1 0.000 0.000 0.000
Lu2 0.000 0.500 0.500
Lu3 0.500 0.000 0.500
Lu4 0.500 0.500 0.000
Mg1 0.250 0.250 0.250
Mg2 0.250 0.750 0.750
Mg3 0.750 0.250 0.750
Mg4 0.750 0.750 0.250
Ti1 0.000 0.000 0.500
Ti2 0.000 0.500 0.000
Ti3 0.500 0.000 0.000
Ti4 0.500 0.500 0.500
Cd1 0.250 0.250 0.750
Cd2 0.250 0.750 0.250
Cd3 0.750 0.250 0.250
Cd4 0.750 0.750 0.750

Energy of formation from the pure elements / meV per atom: -192 -188 -165 -191 -189 56